Here is a relaxed CaCuP4O12 crystal from Alexandria. Energies are from PBE.

Unit cell a=11.9890 b=8.7182 c=10.4316 alpha=90.00 beta=115.94 gamma=90.00
Last column: nearest neighbours and their distance in Å.
Space group C2/c (No. 15)
Symmetry-distinct sites (fractional):
Ca1 0.0000 0.0527 0.2500 (multiplicity 4)  6 O 2.26-2.45
Cu1 0.2500 0.2500 0.5000 (multiplicity 4)  4 O 2.00-2.07
P1 0.0054 0.2756 0.9725 (multiplicity 8)  4 O 1.48-1.61
P2 0.1886 0.4946 0.1812 (multiplicity 8)  4 O 1.48-1.62
O1 0.0329 0.1372 0.9094 (multiplicity 8)  1 P 1.48
O2 0.0597 0.2558 0.4308 (multiplicity 8)  1 P 1.53
O3 0.0712 0.3968 0.6519 (multiplicity 8)  2 P 1.61
O4 0.1341 0.3646 0.0587 (multiplicity 8)  2 P 1.61-1.62
O5 0.2188 0.0870 0.3528 (multiplicity 8)  1 P 1.53
O6 0.2368 0.4272 0.3254 (multiplicity 8)  1 P 1.48

- Density: 2.8 g/cm3
- Energy: -6.979 eV per atom
- Energy relative to the elements, uncorrected: -2.133 eV/atom